1.
Entry from Alexandria via LeMat-Bulk: a relaxed structure of Ca2MoIr (PBE).

Properties
DOS(E_F) ... 0.69 states/eV per atom
DFT formation energy ... 0.585 eV per atom

a = 4.969 Å, b = 4.969 Å, c = 4.969 Å
α = 60.00°, β = 60.00°, γ = 60.00°
Positions (direct):
Ca 0.250 0.250 0.250
Ca 0.750 0.750 0.750
Mo 0.000 0.000 0.000
Ir 0.500 0.500 0.500


2.
Entry from Alexandria via LeMat-Bulk: a relaxed structure of PaTcRuC (PBE).

Properties
DOS(E_F) ... 0.46 states/eV per atom
DFT formation energy ... -0.007 eV per atom

a = 4.034 Å, b = 4.067 Å, c = 4.133 Å
α = 90.00°, β = 90.00°, γ = 90.00°
Positions (direct):
Pa 0.000 0.000 0.000
Tc 0.500 0.500 0.000
Ru 0.500 0.000 0.500
C 0.500 0.500 0.500


3.
Entry from Alexandria via LeMat-Bulk: a relaxed structure of Tm2AgSe (PBE).

Properties
Energy relative to the elements, uncorrected ... -97 kJ per mole of atoms
DOS(E_F) ... 0.44 states/eV per atom

a = 11.628 Å, b = 11.628 Å, c = 4.118 Å
α = 90.00°, β = 90.00°, γ = 160.12°
Positions (direct):
Tm 0.070 0.930 0.750
Tm 0.319 0.681 0.750
Tm 0.681 0.319 0.250
Tm 0.930 0.070 0.250
Ag 0.456 0.544 0.750
Ag 0.544 0.456 0.250
Se 0.195 0.805 0.750
Se 0.805 0.195 0.250


Number 1: electronic total energy -5.339 eV per atom, magnetic moment 0.890 μB per atom. Number 2: electronic total energy -9.597 eV per atom, magnetic moment 0.000 μB per atom. Number 3: electronic total energy -4.822 eV per atom, magnetic moment 0.000 μB per atom.